No. 1
DFT (PBE) results for a geometry-optimized Na4U3Te8Pt structure.

Unit cell a=8.799 b=8.799 c=9.147 alpha=118.14 beta=118.14 gamma=57.93
Positions (direct):
Na 0.000 0.000 0.000
Na 0.000 0.500 0.000
Na 0.500 0.000 0.000
Na 0.500 0.500 0.000
U 0.000 0.000 0.500
U 0.000 0.500 0.500
U 0.500 0.000 0.500
Te 0.230 0.230 0.243
Te 0.241 0.241 0.737
Te 0.273 0.712 0.710
Te 0.288 0.727 0.290
Te 0.712 0.273 0.710
Te 0.727 0.288 0.290
Te 0.759 0.759 0.263
Te 0.770 0.770 0.757
Pt 0.500 0.500 0.500

## Properties
The uncorrected formation energy comes out at -0.67 eV/atom. The calculation puts the total energy at -5.07 eV per atom. As for the total magnetization: 8.02 Bohr magnetons per cell. As for the mass density: 6.643 g/cm³.

No. 2
DFT (PBE) results for a geometry-optimized Na2TePtW structure.

Unit cell a=5.692 b=5.692 c=5.005 alpha=90.00 beta=90.00 gamma=90.00
Positions (direct):
Na 0.000 0.500 0.000
Na 0.500 0.000 0.000
Te 0.000 0.000 0.000
Pt 0.000 0.000 0.500
W 0.500 0.500 0.500

## Properties
The uncorrected formation energy comes out at 1.26 eV/atom. The calculation puts the total energy at -3.70 eV per atom. As for the total magnetization: 5.43 Bohr magnetons per cell. As for the mass density: 5.657 g/cm³.

No. 3
DFT (PBE) results for a geometry-optimized NaThPt2 structure.

Unit cell a=3.589 b=3.589 c=7.163 alpha=90.00 beta=90.00 gamma=90.00
Positions (direct):
Na 0.000 0.000 0.000
Th 0.000 0.000 0.500
Pt 0.500 0.500 0.277
Pt 0.500 0.500 0.723

## Properties
As for the energy of formation from the pure elements: -17.5 kcal/mol of atoms. The calculation puts the total energy at -5.96 eV per atom. As for the total magnetization: 0.00 Bohr magnetons per cell. As for the mass density: 11.611 g/cm³.

No. 4
DFT (PBE) results for a geometry-optimized NaThPt10 structure.

Unit cell a=4.423 b=5.428 c=9.291 alpha=90.00 beta=90.00 gamma=90.00
Positions (direct):
Na 0.000 0.000 0.000
Th 0.000 0.500 0.500
Pt 0.000 0.000 0.331
Pt 0.000 0.000 0.669
Pt 0.000 0.500 0.166
Pt 0.000 0.500 0.834
Pt 0.500 0.000 0.500
Pt 0.500 0.254 0.254
Pt 0.500 0.254 0.746
Pt 0.500 0.500 0.000
Pt 0.500 0.746 0.254
Pt 0.500 0.746 0.746

## Properties
As for the energy of formation from the pure elements: -11.5 kcal/mol of atoms. The calculation puts the total energy at -6.26 eV per atom. As for the total magnetization: 0.00 Bohr magnetons per cell. As for the mass density: 16.419 g/cm³.

No. 5
DFT (PBE) results for a geometry-optimized NaThPt4 structure.

Unit cell a=5.440 b=5.440 c=5.440 alpha=60.00 beta=60.00 gamma=60.00
Positions (direct):
Na 0.000 0.000 0.000
Th 0.250 0.250 0.250
Pt 0.123 0.626 0.626
Pt 0.626 0.123 0.626
Pt 0.626 0.626 0.123
Pt 0.626 0.626 0.626

## Properties
As for the energy of formation from the pure elements: -20.5 kcal/mol of atoms. The calculation puts the total energy at -6.37 eV per atom. As for the total magnetization: 0.00 Bohr magnetons per cell. As for the mass density: 15.100 g/cm³.

No. 6
DFT (PBE) results for a geometry-optimized Na3ThPt8 structure.

Unit cell a=9.345 b=9.345 c=9.345 alpha=33.76 beta=33.76 gamma=33.76
Positions (direct):
Na 0.000 0.000 0.000
Na 0.117 0.117 0.117
Na 0.633 0.633 0.633
Th 0.501 0.501 0.501
Pt 0.065 0.065 0.560
Pt 0.065 0.560 0.065
Pt 0.067 0.564 0.564
Pt 0.314 0.314 0.314
Pt 0.560 0.065 0.065
Pt 0.564 0.067 0.564
Pt 0.564 0.564 0.067
Pt 0.814 0.814 0.814

## Properties
As for the energy of formation from the pure elements: -14.9 kcal/mol of atoms. The calculation puts the total energy at -5.62 eV per atom. As for the total magnetization: 0.00 Bohr magnetons per cell. As for the mass density: 13.767 g/cm³.

No. 7
DFT (PBE) results for a geometry-optimized Na2TiPt2 structure.

Unit cell a=6.508 b=6.508 c=4.915 alpha=90.00 beta=90.00 gamma=90.00
Positions (direct):
Na 0.168 0.332 0.000
Na 0.332 0.832 0.000
Na 0.668 0.168 0.000
Na 0.832 0.668 0.000
Ti 0.000 0.000 0.500
Ti 0.500 0.500 0.500
Pt 0.140 0.640 0.500
Pt 0.360 0.140 0.500
Pt 0.640 0.860 0.500
Pt 0.860 0.360 0.500

## Properties
As for the energy of formation from the pure elements: -5.2 kcal/mol of atoms. The calculation puts the total energy at -4.75 eV per atom. As for the total magnetization: 0.27 Bohr magnetons per cell. As for the mass density: 7.722 g/cm³.

No. 8
DFT (PBE) results for a geometry-optimized Na2TiPt2 structure.

Unit cell a=7.884 b=7.884 c=2.804 alpha=90.00 beta=90.00 gamma=90.00
Positions (direct):
Na 0.106 0.394 0.000
Na 0.394 0.894 0.000
Na 0.606 0.106 0.000
Na 0.894 0.606 0.000
Ti 0.000 0.000 0.000
Ti 0.500 0.500 0.000
Pt 0.195 0.695 0.500
Pt 0.305 0.195 0.500
Pt 0.695 0.805 0.500
Pt 0.805 0.305 0.500

## Properties
As for the energy of formation from the pure elements: 1.9 kcal/mol of atoms. The calculation puts the total energy at -4.44 eV per atom. As for the total magnetization: 0.00 Bohr magnetons per cell. As for the mass density: 9.222 g/cm³.

No. 9
DFT (PBE) results for a geometry-optimized NaTi2Pt structure.

Unit cell a=6.456 b=6.456 c=6.456 alpha=90.00 beta=90.00 gamma=90.00
Positions (direct):
Na 0.000 0.000 0.000
Na 0.000 0.500 0.500
Na 0.500 0.000 0.500
Na 0.500 0.500 0.000
Ti 0.250 0.250 0.250
Ti 0.250 0.250 0.750
Ti 0.250 0.750 0.250
Ti 0.250 0.750 0.750
Ti 0.750 0.250 0.250
Ti 0.750 0.250 0.750
Ti 0.750 0.750 0.250
Ti 0.750 0.750 0.750
Pt 0.000 0.000 0.500
Pt 0.000 0.500 0.000
Pt 0.500 0.000 0.000
Pt 0.500 0.500 0.500

## Properties
As for the energy of formation from the pure elements: -0.7 kcal/mol of atoms. The calculation puts the total energy at -5.82 eV per atom. As for the total magnetization: 4.06 Bohr magnetons per cell. As for the mass density: 7.746 g/cm³.

No. 10
DFT (PBE) results for a geometry-optimized NaTi2Pt structure.

Unit cell a=3.971 b=3.971 c=18.773 alpha=90.00 beta=90.00 gamma=90.00
Positions (direct):
Na 0.000 0.000 0.000
Na 0.000 0.500 0.250
Na 0.500 0.000 0.750
Na 0.500 0.500 0.500
Ti 0.227 0.250 0.625
Ti 0.250 0.727 0.875
Ti 0.250 0.773 0.375
Ti 0.273 0.250 0.125
Ti 0.727 0.750 0.125
Ti 0.750 0.227 0.375
Ti 0.750 0.273 0.875
Ti 0.773 0.750 0.625
Pt 0.000 0.000 0.500
Pt 0.000 0.500 0.750
Pt 0.500 0.000 0.250
Pt 0.500 0.500 0.000

## Properties
As for the energy of formation from the pure elements: 7.6 kcal/mol of atoms. The calculation puts the total energy at -5.46 eV per atom. As for the total magnetization: 0.00 Bohr magnetons per cell. As for the mass density: 7.041 g/cm³.

No. 11
DFT (PBE) results for a geometry-optimized Na2TlPt2 structure.

Unit cell a=8.572 b=8.572 c=2.836 alpha=90.00 beta=90.00 gamma=90.00
Positions (direct):
Na 0.120 0.380 0.000
Na 0.380 0.880 0.000
Na 0.620 0.120 0.000
Na 0.880 0.620 0.000
Tl 0.000 0.000 0.000
Tl 0.500 0.500 0.000
Pt 0.177 0.677 0.500
Pt 0.323 0.177 0.500
Pt 0.677 0.823 0.500
Pt 0.823 0.323 0.500

## Properties
As for the energy of formation from the pure elements: 0.9 kcal/mol of atoms. The calculation puts the total energy at -3.38 eV per atom. As for the total magnetization: 0.00 Bohr magnetons per cell. As for the mass density: 10.209 g/cm³.

No. 12
DFT (PBE) results for a geometry-optimized Na12Tl7Pt structure.

Unit cell a=8.631 b=8.631 c=8.631 alpha=103.32 beta=103.32 gamma=103.32
Positions (direct):
Na 0.033 0.763 0.265
Na 0.154 0.213 0.418
Na 0.213 0.418 0.154
Na 0.237 0.735 0.967
Na 0.265 0.033 0.763
Na 0.418 0.154 0.213
Na 0.582 0.846 0.787
Na 0.735 0.967 0.237
Na 0.763 0.265 0.033
Na 0.787 0.582 0.846
Na 0.846 0.787 0.582
Na 0.967 0.237 0.735
Tl 0.000 0.000 0.000
Tl 0.198 0.614 0.558
Tl 0.386 0.442 0.802
Tl 0.442 0.802 0.386
Tl 0.558 0.198 0.614
Tl 0.614 0.558 0.198
Tl 0.802 0.386 0.442
Pt 0.500 0.500 0.500

## Properties
As for the energy of formation from the pure elements: -2.0 kcal/mol of atoms. The calculation puts the total energy at -2.01 eV per atom. As for the total magnetization: 0.00 Bohr magnetons per cell. As for the mass density: 5.436 g/cm³.